Record 1
NaCaPIr2 | GGA-PBE | optimized geometry

Summary:
As for the energy of formation from the pure elements: 1288 meV per atom. Its space-group type is P4/mmm.

Unit cell a=4.720 b=4.633 c=4.720 alpha=90.00 beta=90.00 gamma=90.00
Element x y z (fractional)
Ca (0.500, 0.500, 0.500)
P (0.000, 0.500, 0.000)
Na (0.000, 0.000, 0.000)
Ir (0.500, 0.000, 0.000)
Ir (0.000, 0.000, 0.500)

---

Record 2
RbNa2OF | GGA-PBE | optimized geometry

Summary:
The uncorrected formation energy is -8.414 eV per formula unit. Its space-group type is P2_1/m.

Unit cell a=3.616 b=7.168 c=6.893 alpha=89.98 beta=90.00 gamma=90.00
Element x y z (fractional)
Na (0.750, 0.935, 0.640)
Na (0.250, 0.672, 0.440)
Na (0.250, 0.065, 0.360)
Na (0.750, 0.328, 0.560)
O (0.750, 0.875, 0.297)
O (0.250, 0.125, 0.703)
F (0.250, 0.383, 0.301)
F (0.750, 0.617, 0.699)
Rb (0.250, 0.747, 0.006)
Rb (0.750, 0.253, 0.994)

---

Record 3
Ho5Si2Hg | GGA-PBE | optimized geometry

Summary:
The uncorrected formation energy is -4.723 eV per formula unit. Its space-group type is I4/mcm.

Unit cell a=7.539 b=7.539 c=8.840 alpha=115.24 beta=115.24 gamma=90.00
Element x y z (fractional)
Ho (0.970, 0.470, 0.280)
Ho (0.470, 0.310, 0.280)
Ho (0.530, 0.690, 0.720)
Ho (0.500, 0.500, 0.000)
Ho (0.690, 0.190, 0.720)
Ho (0.030, 0.530, 0.720)
Ho (0.810, 0.970, 0.280)
Ho (0.190, 0.030, 0.720)
Ho (0.000, 0.000, 0.000)
Ho (0.310, 0.810, 0.280)
Si (0.374, 0.874, 0.000)
Si (0.874, 0.626, 0.000)
Si (0.126, 0.374, 0.000)
Si (0.626, 0.126, 0.000)
Hg (0.250, 0.250, 0.500)
Hg (0.750, 0.750, 0.500)

---

How do the records compare in electronic total energy? In the order shown, they have -20.01 -37.70 -77.52 eV per cell.